Here is a relaxed structure of USiTcMo from Alexandria. Energies are from GGA-PBE.

Cell lengths 4.5512, 4.5512, 4.5512 Å; angles 60.00, 60.00, 60.00 degrees
Last column: nearest neighbours and their distance in Å.
Positions (direct):
U1 0.0000 0.0000 0.0000  4 Mo 2.79, 4 Tc 2.79
Si1 0.5000 0.5000 0.5000  4 Mo 2.79, 4 Tc 2.79
Tc1 0.7500 0.7500 0.7500  4 U 2.79, 4 Si 2.79
Mo1 0.2500 0.2500 0.2500  4 Si 2.79, 4 U 2.79

## Properties
DFT total energy	-38.1	eV/cell
SG	F-43m, No. 216

Here is a relaxed structure of Zr2SiTcMo from Alexandria. Energies are from GGA-PBE.

Cell lengths 4.9894, 4.9894, 4.6279 Å; angles 90.00, 90.00, 90.00 degrees
Last column: nearest neighbours and their distance in Å.
Positions (direct):
Zr1 0.0000 0.5000 0.0000  2 Tc 2.49
Zr2 0.5000 0.0000 0.0000  2 Tc 2.49
Si1 0.0000 0.0000 0.5000  8 Zr 3.40, 4 Mo 3.53
Tc1 0.5000 0.5000 0.0000  2 Mo 2.31, 4 Zr 2.49
Mo1 0.5000 0.5000 0.5000  2 Tc 2.31

## Properties
DFT total energy	-39.5	eV/cell
SG	P4/mmm, No. 123

Here is a relaxed structure of Si2TeMo from Alexandria. Energies are from GGA-PBE.

Cell lengths 4.6332, 4.6332, 4.6332 Å; angles 121.29, 121.29, 87.78 degrees
Last column: nearest neighbours and their distance in Å.
Positions (direct):
Si1 0.0000 0.0000 0.0000  4 Te 2.82, 4 Si 2.82
Si2 0.7500 0.2500 0.5000  4 Mo 2.82, 4 Si 2.82
Te1 0.2500 0.7500 0.5000  4 Mo 2.82, 4 Si 2.82
Mo1 0.5000 0.5000 0.0000  4 Te 2.82, 4 Si 2.82

## Properties
DFT total energy	-22.4	eV/cell
SG	I-4m2, No. 119